# 1
A relaxed structure of Sr2AcGa2, computed with PBE.

The raw total energy is -2.965 eV/atom. As for the space-group type: C2/m. As for the formation energy: -0.260 eV per atom. As for the crystal system: monoclinic.

Lattice parameters (Å, degrees): 6.641 6.641 6.593 101.94 101.94 38.92
Element x y z (fractional)
Sr1 0.151 0.151 0.093
Sr2 0.849 0.849 0.907
Ac1 0.500 0.500 0.500
Ga1 0.209 0.209 0.583
Ga2 0.791 0.791 0.417

---

# 2
A relaxed structure of TlReNi, computed with PBE.

The raw total energy is -6.250 eV/atom. As for the space-group type: I4mm. As for the formation energy: 0.616 eV per atom. The calculation puts the excess energy over the best structure of this formula in the dataset at 0 meV per atom. As for the crystal system: tetragonal.

Lattice parameters (Å, degrees): 6.247 6.247 6.247 153.44 153.44 37.91
Element x y z (fractional)
Tl1 0.000 0.000 0.000
Re1 0.694 0.694 0.000
Ni1 0.324 0.324 0.000

---

# 3
A relaxed structure of Sr2LaSc, computed with PBE.

The raw total energy is -3.339 eV/atom. As for the space-group type: I4/mmm. As for the formation energy: 0.317 eV per atom. The calculation puts the excess energy over the best structure of this formula in the dataset at 186 meV per atom. As for the crystal system: tetragonal.

Lattice parameters (Å, degrees): 6.810 6.810 6.810 133.97 133.97 67.13
Element x y z (fractional)
Sr1 0.250 0.750 0.500
Sr2 0.750 0.250 0.500
La1 0.000 0.000 0.000
Sc1 0.500 0.500 0.000

---

# 4
A relaxed structure of TcAgRu2, computed with PBE.

The raw total energy is -7.747 eV/atom. As for the space-group type: R-3m. As for the formation energy: 0.195 eV per atom. The calculation puts the excess energy over the best structure of this formula in the dataset at 0 meV per atom. As for the crystal system: trigonal.

Lattice parameters (Å, degrees): 9.340 9.340 9.340 16.92 16.92 16.92
Element x y z (fractional)
Tc1 0.000 0.000 0.000
Ag1 0.500 0.500 0.500
Ru1 0.257 0.257 0.257
Ru2 0.743 0.743 0.743

---

Question: Which of these has the highest raw total energy?
Answer: Sr2AcGa2

---

Please write out number 2 again, unchanged.
A relaxed structure of TlReNi, computed with PBE.

The raw total energy is -6.250 eV/atom. As for the space-group type: I4mm. As for the formation energy: 0.616 eV per atom. The calculation puts the excess energy over the best structure of this formula in the dataset at 0 meV per atom. As for the crystal system: tetragonal.

Lattice parameters (Å, degrees): 6.247 6.247 6.247 153.44 153.44 37.91
Element x y z (fractional)
Tl1 0.000 0.000 0.000
Re1 0.694 0.694 0.000
Ni1 0.324 0.324 0.000

---

Question: What is the raw total energy in the fourth record?
Answer: -7.747 eV/atom